## PmSmGaHg (GGA-PBE)

Data for an optimized crystal structure of PmSmGaHg.

Summary:
* spin magnetization: 0.34 μB/f.u.
* energy above the lowest structure with this stoichiometry: 19.7 meV per atom
* D(E_F): 1.30 states/eV per atom
* space group: F-43m (216)
* ΔH_f (0 K): -0.503 eV/atom
* calculated density: 8.93 g/cm3

a = 5.2994 Å, b = 5.2994 Å, c = 5.2994 Å
α = 60.00°, β = 60.00°, γ = 60.00°
Last column: magnetic moment on the atom in μB.
Element x y z (fractional)
Ga (0.2500, 0.2500, 0.2500)  0.00
Hg (0.7500, 0.7500, 0.7500)  0.01
Sm (0.0000, 0.0000, 0.0000)  0.08
Pm (0.5000, 0.5000, 0.5000)  0.09